(1)
# Pm2BMo2C2

A geometry-optimized Pm2BMo2C2 structure (GGA-PBE, the Alexandria database).

It has space group C2/m (No. 12), with a = 11.916 Å, b = 3.286 Å, c = 7.232 Å, α = 90.00°, β = 126.81° and γ = 90.00°. The asymmetric unit holds Pm at (0.054, 0.000, 0.266), B at (0.000, 0.500, 0.500), Mo at (0.211, 0.500, 0.815) and C at (0.155, 0.500, 0.052).

As for the energy relative to the elements: -0.05 eV per atom.


(2)
# PmYCu2S4

A geometry-optimized PmYCu2S4 structure (GGA-PBE, the Alexandria database).

It has space group I222 (No. 23), with a = 6.527 Å, b = 6.633 Å, c = 7.615 Å, α = 90.00°, β = 90.00° and γ = 90.00°. The asymmetric unit holds Pm at (0.000, 0.000, 0.000), Y at (0.000, 0.000, 0.500), Cu at (0.000, 0.500, 0.170) and S at (0.249, 0.271, 0.804).

For the raw formation energy, the calculation gives -1.2019 eV/atom.